An optimized crystal structure of Na4LiAu. Source: Alexandria via LeMat-Bulk, functional PBE.

Unit cell a=7.969 b=7.969 c=7.969 alpha=123.69 beta=123.69 gamma=83.72
Element x y z (fractional)
Na (0.026, 0.526, 0.833)
Na (0.193, 0.026, 0.500)
Na (0.307, 0.807, 0.833)
Na (0.474, 0.307, 0.500)
Na (0.526, 0.693, 0.500)
Na (0.693, 0.193, 0.167)
Na (0.807, 0.974, 0.500)
Na (0.974, 0.474, 0.167)
Li (0.000, 0.000, 0.000)
Li (0.500, 0.500, 0.000)
Au (0.250, 0.250, 0.000)
Au (0.750, 0.750, 0.000)

Energy, eV/atom: -1.87
Energy of formation from the pure elements, eV per atom: -0.12
Magnetization, μB per cell: 0.00